## GaPW (PBE)

Data for a relaxed structure of GaPW.

Cell: 5.073 5.073 5.236 Å, 85.02 105.14 50.15°
Fractional positions:
W: 0.574 0.182 0.393
W: 0.426 0.818 0.607
P: 0.044 0.844 0.200
P: 0.956 0.156 0.800
Ga: 0.233 0.443 0.790
Ga: 0.767 0.557 0.210

Summary:
Uncorrected energy ... -43.15 eV per cell

## CoSbW2N (PBE)

Data for a relaxed structure of CoSbW2N.

Cell: 4.954 4.404 4.954 Å, 90.00 90.00 90.00°
Fractional positions:
Sb: 0.000 0.000 0.000
N: 0.500 0.500 0.500
W: 0.500 0.000 0.000
W: 0.000 0.000 0.500
Co: 0.000 0.500 0.000

Summary:
Formation energy from raw total energies ... 16.8 eV/f.u.
Uncorrected energy ... -28.63 eV per cell

## K2CaMnRu (PBE)

Data for a relaxed structure of K2CaMnRu.

Cell: 5.970 5.800 5.970 Å, 90.00 90.00 90.00°
Last column: magnetic moment on the atom in μB.
Fractional positions:
Ca: 0.000 0.500 0.000  -0.09
K: 0.500 0.000 0.000  -0.01
K: 0.000 0.000 0.500  -0.01
Ru: 0.500 0.500 0.500  2.32
Mn: 0.000 0.000 0.000  3.70

Summary:
Uncorrected energy ... -14.72 eV per cell

## La4Dy7Y (PBE)

Data for a relaxed structure of La4Dy7Y.

Cell: 5.960 11.899 6.768 Å, 84.82 63.88 75.50°
Fractional positions:
La: 0.363 0.776 0.498
La: 0.293 0.293 0.120
La: 0.637 0.224 0.502
La: 0.707 0.707 0.880
Dy: 0.962 0.364 0.711
Dy: 0.209 0.081 0.501
Dy: 0.038 0.636 0.289
Dy: 0.644 0.488 0.224
Dy: 0.500 0.000 0.000
Dy: 0.791 0.919 0.499
Dy: 0.356 0.512 0.776
Y: 0.000 0.000 0.000

Summary:
Polymorph energy (0 for the lowest one) ... 0.246 eV/atom
Uncorrected energy ... -55.20 eV per cell

## Th4CdHg2 (PBE)

Data for a relaxed structure of Th4CdHg2.

Cell: 5.387 5.387 8.734 Å, 72.04 72.04 60.00°
Fractional positions:
Hg: 0.270 0.270 0.191
Hg: 0.730 0.730 0.809
Cd: 0.000 0.000 0.000
Th: 0.598 0.598 0.207
Th: 0.862 0.862 0.414
Th: 0.138 0.138 0.586
Th: 0.402 0.402 0.793

Summary:
Polymorph energy (0 for the lowest one) ... 0.000 eV/atom
Uncorrected energy ... -31.21 eV per cell

## Mg2AsPb2 (PBE)

Data for a relaxed structure of Mg2AsPb2.

Cell: 7.076 7.076 5.173 Å, 90.00 90.00 90.00°
Fractional positions:
Pb: 0.838 0.338 0.500
Pb: 0.162 0.662 0.500
Pb: 0.338 0.162 0.500
Pb: 0.662 0.838 0.500
Mg: 0.850 0.650 0.000
Mg: 0.350 0.850 0.000
Mg: 0.650 0.150 0.000
Mg: 0.150 0.350 0.000
As: 0.000 0.000 0.000
As: 0.500 0.500 0.000

Summary:
Polymorph energy (0 for the lowest one) ... 0.000 eV/atom
Uncorrected energy ... -31.09 eV per cell

## PrSm2Cu2 (PBE)

Data for a relaxed structure of PrSm2Cu2.

Cell: 4.735 5.043 11.089 Å, 97.53 90.00 90.00°
Fractional positions:
Pr: 0.750 0.308 0.756
Pr: 0.250 0.692 0.244
Cu: 0.250 0.383 0.996
Cu: 0.250 0.789 0.635
Cu: 0.750 0.211 0.365
Cu: 0.750 0.617 0.004
Sm: 0.250 0.253 0.508
Sm: 0.750 0.153 0.116
Sm: 0.250 0.847 0.884
Sm: 0.750 0.747 0.492

Summary:
Polymorph energy (0 for the lowest one) ... 0.018 eV/atom
Uncorrected energy ... -45.59 eV per cell

## LaPm2Pr6Y3 (PBE)

Data for a relaxed structure of LaPm2Pr6Y3.

Cell: 6.379 6.379 12.100 Å, 95.03 95.03 120.03°
Fractional positions:
Pm: 0.667 0.333 0.000
Pm: 0.333 0.667 0.000
Y: 0.833 0.167 0.500
Y: 0.167 0.833 0.500
Y: 0.500 0.500 0.500
Pr: 0.582 0.915 0.747
Pr: 0.915 0.582 0.747
Pr: 0.085 0.418 0.253
Pr: 0.249 0.249 0.746
Pr: 0.751 0.751 0.254
Pr: 0.418 0.085 0.253
La: 0.000 0.000 0.000

Summary:
Uncorrected energy ... -62.35 eV per cell

## TaC5 (PBE)

Data for a relaxed structure of TaC5.

Cell: 4.283 4.283 4.650 Å, 88.63 88.63 37.03°
Fractional positions:
C: 0.611 0.611 0.642
C: 0.434 0.434 0.601
C: 0.889 0.889 0.419
C: 0.959 0.959 0.120
C: 0.708 0.708 0.391
Ta: 0.231 0.231 0.994

Summary:
Polymorph energy (0 for the lowest one) ... 0.000 eV/atom
Uncorrected energy ... -52.29 eV per cell

## Cs7Rb4Pd (PBE)

Data for a relaxed structure of Cs7Rb4Pd.

Cell: 7.189 9.249 18.892 Å, 102.88 90.00 112.87°
Fractional positions:
Cs: 0.411 0.821 0.351
Cs: 0.862 0.725 0.551
Cs: 0.201 0.403 0.083
Cs: 0.589 0.179 0.649
Cs: 0.138 0.275 0.449
Cs: 0.500 0.000 0.000
Cs: 0.799 0.597 0.917
Rb: 0.314 0.627 0.732
Rb: 0.958 0.916 0.166
Rb: 0.686 0.373 0.268
Rb: 0.042 0.084 0.834
Pd: 0.000 0.000 0.000

Summary:
Uncorrected energy ... -14.73 eV per cell

## ZnCd2Cl (PBE)

Data for a relaxed structure of ZnCd2Cl.

Cell: 8.295 8.295 8.295 Å, 24.85 24.85 24.85°
Fractional positions:
Cd: 0.505 0.505 0.505
Cd: 0.995 0.995 0.995
Zn: 0.250 0.250 0.250
Cl: 0.750 0.750 0.750

Summary:
Formation energy from raw total energies ... -1.0 eV/f.u.
Polymorph energy (0 for the lowest one) ... 0.000 eV/atom
Uncorrected energy ... -5.94 eV per cell

## CeSmPuCd (PBE)

Data for a relaxed structure of CeSmPuCd.

Cell: 5.394 5.394 5.394 Å, 60.00 60.00 60.00°
Last column: magnetic moment on the atom in μB.
Fractional positions:
Ce: 0.000 0.000 0.000  -1.08
Cd: 0.750 0.750 0.750  0.03
Pu: 0.250 0.250 0.250  -5.80
Sm: 0.500 0.500 0.500  -0.28

Summary:
Uncorrected energy ... -25.74 eV per cell

## AcAgPb3 (PBE)

Data for a relaxed structure of AcAgPb3.

Cell: 4.757 4.912 13.901 Å, 100.18 90.00 90.00°
Fractional positions:
Ag: 0.000 0.618 0.237
Ag: 0.000 0.382 0.763
Ac: 0.500 0.169 0.339
Ac: 0.500 0.831 0.661
Pb: 0.000 0.281 0.562
Pb: 0.000 0.942 0.883
Pb: 0.500 0.557 0.114
Pb: 0.000 0.719 0.438
Pb: 0.500 0.443 0.886
Pb: 0.000 0.058 0.117

Summary:
Uncorrected energy ... -37.86 eV per cell

## CoGe (PBE)

Data for a relaxed structure of CoGe.

Cell: 3.844 7.986 5.343 Å, 90.00 90.00 90.00°
Fractional positions:
Co: 0.000 0.000 0.588
Co: 0.000 0.500 0.088
Co: 0.500 0.724 0.032
Co: 0.500 0.276 0.032
Co: 0.500 0.224 0.532
Co: 0.500 0.776 0.532
Ge: 0.500 0.000 0.856
Ge: 0.500 0.500 0.356
Ge: 0.000 0.818 0.247
Ge: 0.000 0.182 0.247
Ge: 0.000 0.318 0.747
Ge: 0.000 0.682 0.747

Summary:
Uncorrected energy ... -71.42 eV per cell

## NaPaAgBr6 (PBE)

Data for a relaxed structure of NaPaAgBr6.

Cell: 7.289 7.289 12.941 Å, 90.00 90.00 120.00°
Last column: magnetic moment on the atom in μB.
Fractional positions:
Br: 0.019 0.672 0.875  -0.01
Br: 0.672 0.019 0.375  -0.01
Br: 0.653 0.672 0.625  -0.01
Br: 0.653 0.981 0.875  -0.01
Br: 0.981 0.653 0.375  -0.01
Br: 0.347 0.019 0.125  -0.01
Br: 0.672 0.653 0.125  -0.01
Br: 0.981 0.328 0.125  -0.01
Br: 0.328 0.981 0.625  -0.01
Br: 0.019 0.347 0.625  -0.01
Br: 0.347 0.328 0.375  -0.01
Br: 0.328 0.347 0.875  -0.01
Pa: 0.667 0.333 0.250  1.06
Pa: 0.333 0.667 0.750  1.06
Ag: 0.000 0.000 0.500  0.00
Ag: 0.000 0.000 0.000  0.00
Na: 0.667 0.333 0.750  0.00
Na: 0.333 0.667 0.250  0.00

Summary:
Formation energy from raw total energies ... -11.0 eV/f.u.
Uncorrected energy ... -69.38 eV per cell

## LiNi2Sn (PBE)

Data for a relaxed structure of LiNi2Sn.

Cell: 3.729 3.729 9.010 Å, 78.06 78.06 90.00°
Fractional positions:
Ni: 0.375 0.403 0.750
Ni: 0.597 0.125 0.250
Ni: 0.153 0.625 0.250
Ni: 0.875 0.847 0.750
Li: 0.500 0.500 0.000
Li: 0.250 0.750 0.500
Sn: 0.000 0.000 0.000
Sn: 0.750 0.250 0.500

Summary:
Uncorrected energy ... -33.69 eV per cell

## LiCaNbRu2 (PBE)

Data for a relaxed structure of LiCaNbRu2.

Cell: 4.510 4.510 3.970 Å, 90.00 90.00 90.00°
Fractional positions:
Li: 0.000 0.000 0.000
Ca: 0.000 0.000 0.500
Ru: 0.500 0.000 0.000
Ru: 0.000 0.500 0.000
Nb: 0.500 0.500 0.500

Summary:
Uncorrected energy ... -28.26 eV per cell

## SiTeIrI2 (PBE)

Data for a relaxed structure of SiTeIrI2.

Cell: 5.314 5.314 5.384 Å, 90.00 90.00 90.00°
Last column: magnetic moment on the atom in μB.
Fractional positions:
Si: 0.000 0.000 0.000  0.00
Ir: 0.500 0.500 0.500  2.01
I: 0.500 0.000 0.000  0.11
I: 0.000 0.500 0.000  0.11
Te: 0.000 0.000 0.500  0.12

Summary:
Formation energy from raw total energies ... 6.6 eV/f.u.
Polymorph energy (0 for the lowest one) ... 0.548 eV/atom
Uncorrected energy ... -13.92 eV per cell

## SrFePb2 (PBE)

Data for a relaxed structure of SrFePb2.

Cell: 6.013 6.013 6.013 Å, 134.05 134.05 67.01°
Last column: magnetic moment on the atom in μB.
Fractional positions:
Pb: 0.250 0.750 0.500  -0.02
Pb: 0.000 0.000 0.000  0.00
Fe: 0.750 0.250 0.500  3.06
Sr: 0.500 0.500 0.000  -0.03

Summary:
Uncorrected energy ... -16.48 eV per cell

## LaPd2Cl (PBE)

Data for a relaxed structure of LaPd2Cl.

Cell: 7.941 7.941 6.274 Å, 50.74 50.74 90.00°
Fractional positions:
Cl: 0.500 0.500 0.000
Cl: 0.250 0.750 0.500
La: 0.000 0.000 0.000
La: 0.750 0.250 0.500
Pd: 0.375 0.388 0.750
Pd: 0.138 0.625 0.250
Pd: 0.875 0.862 0.750
Pd: 0.612 0.125 0.250

Summary:
Formation energy from raw total energies ... -2.7 eV/f.u.
Polymorph energy (0 for the lowest one) ... 0.000 eV/atom
Uncorrected energy ... -39.78 eV per cell

## Th4Ir3Pt (PBE)

Data for a relaxed structure of Th4Ir3Pt.

Cell: 4.137 7.189 7.189 Å, 70.64 89.99 89.99°
Fractional positions:
Th: 0.500 0.753 0.253
Th: 0.000 0.757 0.743
Th: 0.500 0.247 0.747
Th: 0.000 0.243 0.257
Ir: 0.500 0.000 0.500
Ir: 0.000 0.500 0.500
Ir: 0.000 0.000 0.000
Pt: 0.500 0.500 0.000

Summary:
Uncorrected energy ... -70.72 eV per cell

## Ba2CaIr (PBE)

Data for a relaxed structure of Ba2CaIr.

Cell: 5.685 5.685 5.685 Å, 60.00 60.00 60.00°
Fractional positions:
Ba: 0.750 0.750 0.750
Ba: 0.250 0.250 0.250
Ir: 0.500 0.500 0.500
Ca: 0.000 0.000 0.000

Summary:
Polymorph energy (0 for the lowest one) ... 0.463 eV/atom
Uncorrected energy ... -13.60 eV per cell

## KY2Au (PBE)

Data for a relaxed structure of KY2Au.

Cell: 7.065 7.065 5.995 Å, 64.87 64.87 29.09°
Fractional positions:
Y: 0.445 0.445 0.555
Y: 0.055 0.055 0.945
Au: 0.750 0.750 0.750
K: 0.250 0.250 0.250

Summary:
Polymorph energy (0 for the lowest one) ... 0.120 eV/atom
Uncorrected energy ... -17.58 eV per cell

## CaMgRe2Cl (PBE)

Data for a relaxed structure of CaMgRe2Cl.

Cell: 4.791 6.038 4.791 Å, 90.00 90.00 90.00°
Last column: magnetic moment on the atom in μB.
Fractional positions:
Re: 0.000 0.000 0.500  2.43
Re: 0.500 0.000 0.000  2.33
Ca: 0.000 0.500 0.000  -0.02
Cl: 0.500 0.500 0.500  0.11
Mg: 0.000 0.000 0.000  -0.01

Summary:
Formation energy from raw total energies ... 8.9 eV/f.u.
Uncorrected energy ... -21.46 eV per cell

## Li2Ga8Cu (PBE)

Data for a relaxed structure of Li2Ga8Cu.

Cell: 4.047 5.691 9.625 Å, 118.80 102.14 90.00°
Fractional positions:
Ga: 0.201 0.292 0.403
Ga: 0.990 0.710 0.981
Ga: 0.010 0.290 0.019
Ga: 0.799 0.708 0.597
Ga: 0.380 0.088 0.761
Ga: 0.620 0.912 0.239
Ga: 0.630 0.448 0.259
Ga: 0.370 0.552 0.741
Cu: 0.500 0.000 0.000
Li: 0.202 0.799 0.404
Li: 0.798 0.201 0.596

Summary:
Polymorph energy (0 for the lowest one) ... 0.029 eV/atom
Uncorrected energy ... -33.57 eV per cell